[1]
Compound: NbP2OsO
Source: the Alexandria database
Functional: PBEsol
Structure: relaxed

a b c (Å): 4.7271 4.7271 3.5891
angles (deg): 90.00 90.00 90.00
Sites, in units of the cell vectors:
Nb1 0.0000 0.0000 0.0000
P1 0.0000 0.5000 0.5000
P2 0.5000 0.0000 0.5000
Os1 0.5000 0.5000 0.5000
O1 0.5000 0.5000 0.0000

Energy relative to the elements, uncorrected in eV/atom: 0.252
M_tot in μB per formula unit: 1.4

[2]
Compound: NbPO5
Source: the Alexandria database
Functional: PBEsol
Structure: relaxed

a b c (Å): 6.4713 6.4713 4.0884
angles (deg): 90.00 90.00 90.00
Sites, in units of the cell vectors:
Nb1 0.2500 0.2500 0.2223
Nb2 0.7500 0.7500 0.7777
P1 0.2500 0.7500 0.5000
P2 0.7500 0.2500 0.5000
O1 0.0562 0.7421 0.7162
O2 0.2421 0.9438 0.2838
O3 0.2500 0.2500 0.7833
O4 0.2579 0.5562 0.2838
O5 0.4438 0.7579 0.7162
O6 0.5562 0.2421 0.2838
O7 0.7421 0.4438 0.7162
O8 0.7500 0.7500 0.2167
O9 0.7579 0.0562 0.7162
O10 0.9438 0.2579 0.2838

Energy relative to the elements, uncorrected in eV/atom: -2.413
Energy relative to the lowest polymorph listed for this composition in eV/atom: 0.0171
M_tot in μB per formula unit: 0.0

[3]
Compound: Nb2P3O12
Source: the Alexandria database
Functional: PBEsol
Structure: relaxed

a b c (Å): 9.0521 9.0521 9.0521
angles (deg): 58.03 58.03 58.03
Sites, in units of the cell vectors:
Nb1 0.1420 0.1420 0.1420
Nb2 0.3580 0.3580 0.3580
Nb3 0.6420 0.6420 0.6420
Nb4 0.8580 0.8580 0.8580
P1 0.0319 0.7500 0.4681
P2 0.2500 0.5319 0.9681
P3 0.4681 0.0319 0.7500
P4 0.5319 0.9681 0.2500
P5 0.7500 0.4681 0.0319
P6 0.9681 0.2500 0.5319
O1 0.0040 0.7733 0.6382
O2 0.0615 0.9217 0.2947
O3 0.0783 0.7053 0.9385
O4 0.1382 0.2733 0.5040
O5 0.2053 0.5783 0.4385
O6 0.2267 0.3618 0.9960
O7 0.2733 0.5040 0.1382
O8 0.2947 0.0615 0.9217
O9 0.3618 0.9960 0.2267
O10 0.4217 0.5615 0.7947
O11 0.4385 0.2053 0.5783
O12 0.4960 0.8618 0.7267
O13 0.5040 0.1382 0.2733
O14 0.5615 0.7947 0.4217
O15 0.5783 0.4385 0.2053
O16 0.6382 0.0040 0.7733
O17 0.7053 0.9385 0.0783
O18 0.7267 0.4960 0.8618
O19 0.7733 0.6382 0.0040
O20 0.7947 0.4217 0.5615
O21 0.8618 0.7267 0.4960
O22 0.9217 0.2947 0.0615
O23 0.9385 0.0783 0.7053
O24 0.9960 0.2267 0.3618

Energy relative to the elements, uncorrected in eV/atom: -2.363
Energy relative to the lowest polymorph listed for this composition in eV/atom: 0.0000
M_tot in μB per formula unit: 1.1

[4]
Compound: Nb2P3O12
Source: the Alexandria database
Functional: PBEsol
Structure: relaxed

a b c (Å): 8.8292 8.8757 15.1367
angles (deg): 90.00 125.68 90.00
Sites, in units of the cell vectors:
Nb1 0.1314 0.0341 0.3821
Nb2 0.1314 0.4659 0.8821
Nb3 0.3670 0.0341 0.1179
Nb4 0.3670 0.4659 0.6179
Nb5 0.6330 0.5341 0.3821
Nb6 0.6330 0.9659 0.8821
Nb7 0.8686 0.5341 0.1179
Nb8 0.8686 0.9659 0.6179
P1 0.0303 0.7500 0.9999
P2 0.0303 0.7500 0.4999
P3 0.2485 0.1121 0.8558
P4 0.2485 0.3879 0.3558
P5 0.4630 0.6121 0.8558
P6 0.4630 0.8879 0.3558
P7 0.5370 0.1121 0.6442
P8 0.5370 0.3879 0.1442
P9 0.7515 0.6121 0.6442
P10 0.7515 0.8879 0.1442
P11 0.9697 0.2500 0.0001
P12 0.9697 0.2500 0.5001
O1 0.0114 0.6633 0.0808
O2 0.0114 0.8367 0.5808
O3 0.0677 0.6430 0.9352
O4 0.0677 0.8570 0.4352
O5 0.0900 0.0105 0.7680
O6 0.0900 0.4895 0.2680
O7 0.1500 0.1630 0.0813
O8 0.1500 0.3370 0.5813
O9 0.1900 0.2212 0.3322
O10 0.1900 0.2788 0.8322
O11 0.1973 0.6432 0.5649
O12 0.1973 0.8568 0.0649
O13 0.2889 0.5905 0.8541
O14 0.2889 0.9095 0.3541
O15 0.2931 0.0673 0.9663
O16 0.2931 0.4327 0.4663
O17 0.3612 0.0670 0.5334
O18 0.3612 0.4330 0.0334
O19 0.4198 0.0904 0.8548
O20 0.4198 0.4096 0.3548
O21 0.4467 0.5106 0.7681
O22 0.4467 0.9894 0.2681
O23 0.4748 0.7212 0.3324
O24 0.4748 0.7788 0.8324
O25 0.5252 0.2212 0.1676
O26 0.5252 0.2788 0.6676
O27 0.5533 0.0106 0.7319
O28 0.5533 0.4894 0.2319
O29 0.5802 0.5904 0.6452
O30 0.5802 0.9096 0.1452
O31 0.6388 0.5670 0.9666
O32 0.6388 0.9330 0.4666
O33 0.7069 0.5673 0.5337
O34 0.7069 0.9327 0.0337
O35 0.7111 0.0905 0.6459
O36 0.7111 0.4095 0.1459
O37 0.8027 0.1432 0.9351
O38 0.8027 0.3568 0.4351
O39 0.8100 0.7212 0.1678
O40 0.8100 0.7788 0.6678
O41 0.8500 0.6630 0.4187
O42 0.8500 0.8370 0.9187
O43 0.9100 0.5105 0.7320
O44 0.9100 0.9895 0.2320
O45 0.9323 0.1430 0.5648
O46 0.9323 0.3570 0.0648
O47 0.9886 0.1633 0.4192
O48 0.9886 0.3367 0.9192

Energy relative to the elements, uncorrected in eV/atom: -2.360
Energy relative to the lowest polymorph listed for this composition in eV/atom: 0.0028
M_tot in μB per formula unit: 1.1